Co3Ni3Rh2 | GGA-PBE | optimized geometry

abc: 4.472 4.138 10.328
angles: 90.00 90.00 90.00
Site moments in Bohr magnetons follow the coordinates.
Fractional coordinates of all 16 atoms:
Co: 0.660 0.250 0.499  1.86
Co: 0.340 0.750 0.999  1.86
Co: 0.660 0.250 0.001  1.86
Co: 0.340 0.750 0.501  1.86
Co: 0.333 0.750 0.250  1.91
Co: 0.667 0.250 0.750  1.91
Ni: 0.817 0.750 0.370  0.83
Ni: 0.183 0.250 0.870  0.83
Ni: 0.817 0.750 0.130  0.83
Ni: 0.183 0.250 0.630  0.83
Ni: 0.657 0.250 0.250  0.77
Ni: 0.343 0.750 0.750  0.77
Rh: 0.842 0.750 0.880  0.86
Rh: 0.158 0.250 0.380  0.86
Rh: 0.842 0.750 0.620  0.86
Rh: 0.158 0.250 0.120  0.86

Results
Space group   Pmmn (59)
Final energy   -6.669 eV per atom



Co2Ni2Rh | GGA-PBE | optimized geometry

abc: 3.432 3.432 5.903
angles: 73.10 73.10 90.00
Site moments in Bohr magnetons follow the coordinates.
Fractional coordinates of all 5 atoms:
Ni: 0.750 0.250 0.500  0.73
Ni: 0.250 0.750 0.500  0.73
Rh: 0.000 0.000 0.000  0.89
Co: 0.400 0.400 0.201  1.87
Co: 0.600 0.600 0.799  1.87

Results
Space group   I4/mmm (139)
Final energy   -6.247 eV per atom



Co2NiRh2 | GGA-PBE | optimized geometry

abc: 4.534 5.185 10.672
angles: 90.00 97.58 90.00
Site moments in Bohr magnetons follow the coordinates.
Fractional coordinates of all 20 atoms:
Co: 0.616 0.873 0.098  1.67
Co: 0.116 0.627 0.098  1.67
Co: 0.884 0.373 0.902  1.67
Co: 0.384 0.127 0.902  1.67
Co: 0.747 0.375 0.499  -1.81
Co: 0.247 0.125 0.499  -1.81
Co: 0.753 0.875 0.501  -1.81
Co: 0.253 0.625 0.501  -1.81
Ni: 0.356 0.373 0.307  -0.41
Ni: 0.644 0.627 0.693  -0.41
Ni: 0.856 0.127 0.307  -0.41
Ni: 0.144 0.873 0.693  -0.41
Rh: 0.618 0.376 0.100  0.32
Rh: 0.118 0.124 0.100  0.32
Rh: 0.882 0.876 0.900  0.32
Rh: 0.382 0.624 0.900  0.32
Rh: 0.861 0.625 0.304  -0.25
Rh: 0.361 0.875 0.304  -0.25
Rh: 0.639 0.125 0.696  -0.25
Rh: 0.139 0.375 0.696  -0.25

Results
Space group   P2_1/c (14)
Final energy   -6.878 eV per atom



Co3Ni7Rh2 | GGA-PBE | optimized geometry

abc: 2.546 4.095 13.896
angles: 93.21 90.00 90.00
Site moments in Bohr magnetons follow the coordinates.
Fractional coordinates of all 12 atoms:
Co: 0.500 0.500 0.000  1.69
Co: 0.000 0.226 0.374  1.93
Co: 0.000 0.774 0.626  1.93
Ni: 0.500 0.743 0.465  0.77
Ni: 0.500 0.257 0.535  0.77
Ni: 0.000 0.685 0.139  0.73
Ni: 0.000 0.000 0.000  0.74
Ni: 0.000 0.315 0.861  0.73
Ni: 0.500 0.810 0.834  0.75
Ni: 0.500 0.190 0.166  0.75
Rh: 0.500 0.712 0.292  0.83
Rh: 0.500 0.288 0.708  0.83

Results
Space group   P2/m (10)
Final energy   -6.185 eV per atom



Results for mass density: 9709 8857 10213 9109 (in kg/m3, following the order of the records).
Results for total magnetic moment: 1.191 1.206 0.094 1.005 (in μB per atom, following the order of the records).
Results for DOS at the Fermi energy: 0.86 1.39 1.50 1.34 (in states/eV per atom, following the order of the records).